# 1
# Sc2Cr2SnRu5

A relaxed Sc2Cr2SnRu5 crystal (GGA-PBE, Alexandria via LeMat-Bulk).

abc: 3.392 9.763 9.763
angles: 90.00 90.00 90.00
Element x y z (fractional)
1 Ru 0.500 0.213 0.069
2 Ru 0.500 0.000 0.500
3 Ru 0.500 0.569 0.713
4 Ru 0.500 0.500 0.000
5 Ru 0.500 0.713 0.431
6 Ru 0.500 0.287 0.569
7 Ru 0.500 0.787 0.931
8 Ru 0.500 0.069 0.787
9 Ru 0.500 0.431 0.287
10 Ru 0.500 0.931 0.213
11 Sc 0.000 0.826 0.674
12 Sc 0.000 0.326 0.826
13 Sc 0.000 0.174 0.326
14 Sc 0.000 0.674 0.174
15 Cr 0.000 0.374 0.126
16 Cr 0.000 0.126 0.626
17 Cr 0.000 0.626 0.874
18 Cr 0.000 0.874 0.374
19 Sn 0.000 0.500 0.500
20 Sn 0.000 0.000 0.000

total DFT energy (no corrections)	-8.350	eV/atom

***

# 2
# SrScCr2Ru

A relaxed SrScCr2Ru crystal (GGA-PBE, Alexandria via LeMat-Bulk).

abc: 5.158 4.690 5.158
angles: 90.00 90.00 90.00
Element x y z (fractional)
1 Ru 0.000 0.500 0.000
2 Sc 0.000 0.000 0.000
3 Sr 0.500 0.500 0.500
4 Cr 0.000 0.000 0.500
5 Cr 0.500 0.000 0.000

total DFT energy (no corrections)	-6.244	eV/atom

***

# 3
# Sc2CrTcRu

A relaxed Sc2CrTcRu crystal (GGA-PBE, Alexandria via LeMat-Bulk).

abc: 4.874 4.571 4.874
angles: 90.00 90.00 90.00
Element x y z (fractional)
1 Sc 0.500 0.000 0.000
2 Sc 0.000 0.000 0.500
3 Tc 0.000 0.000 0.000
4 Cr 0.500 0.500 0.500
5 Ru 0.000 0.500 0.000

total DFT energy (no corrections)	-7.273	eV/atom

***

# 4
# TmScCrRu

A relaxed TmScCrRu crystal (GGA-PBE, Alexandria via LeMat-Bulk).

abc: 4.726 4.726 4.726
angles: 60.00 60.00 60.00
Element x y z (fractional)
1 Tm 0.500 0.500 0.500
2 Ru 0.250 0.250 0.250
3 Sc 0.000 0.000 0.000
4 Cr 0.750 0.750 0.750

total DFT energy (no corrections)	-7.554	eV/atom

***

# 5
# ScCrRuW

A relaxed ScCrRuW crystal (GGA-PBE, Alexandria via LeMat-Bulk).

abc: 4.413 4.413 4.413
angles: 60.00 60.00 60.00
Element x y z (fractional)
1 Ru 0.750 0.750 0.750
2 W 0.500 0.500 0.500
3 Cr 0.250 0.250 0.250
4 Sc 0.000 0.000 0.000

total DFT energy (no corrections)	-9.610	eV/atom

***

# 6
# ZrScCrRu

A relaxed ZrScCrRu crystal (GGA-PBE, Alexandria via LeMat-Bulk).

abc: 4.632 4.632 4.632
angles: 60.00 60.00 60.00
Element x y z (fractional)
1 Cr 0.250 0.250 0.250
2 Sc 0.000 0.000 0.000
3 Zr 0.500 0.500 0.500
4 Ru 0.750 0.750 0.750

total DFT energy (no corrections)	-8.648	eV/atom

***

# 7
# CrRuSe

A relaxed CrRuSe crystal (GGA-PBE, Alexandria via LeMat-Bulk).

abc: 4.461 4.461 4.461
angles: 140.22 128.33 67.12
Element x y z (fractional)
1 Se 0.669 0.669 0.000
2 Ru 0.338 0.338 0.000
3 Cr 0.993 0.993 0.000

energy above the most stable polymorph in this dataset	200	meV per atom
formation energy (no corrections)	304	meV per atom

***

# 8
# Cr2RuSe

A relaxed Cr2RuSe crystal (GGA-PBE, Alexandria via LeMat-Bulk).

abc: 3.067 4.212 4.299
angles: 90.00 90.00 90.00
Element x y z (fractional)
1 Cr 0.000 0.000 0.000
2 Cr 0.500 0.500 0.000
3 Se 0.000 0.500 0.500
4 Ru 0.500 0.000 0.500

formation energy (no corrections)	213	meV per atom

***

# 9
# CrRuSe

A relaxed CrRuSe crystal (GGA-PBE, Alexandria via LeMat-Bulk).

abc: 4.074 4.074 2.922
angles: 90.00 90.00 120.00
Element x y z (fractional)
1 Cr 0.000 0.000 0.834
2 Se 0.667 0.333 0.833
3 Ru 0.333 0.667 0.333

energy above the most stable polymorph in this dataset	135	meV per atom
formation energy (no corrections)	239	meV per atom

***

# 10
# Cr2RuSe

A relaxed Cr2RuSe crystal (GGA-PBE, Alexandria via LeMat-Bulk).

abc: 4.620 4.620 4.620
angles: 131.00 131.00 71.81
Element x y z (fractional)
1 Se 0.750 0.250 0.500
2 Ru 0.250 0.750 0.500
3 Cr 0.500 0.500 0.000
4 Cr 0.000 0.000 0.000

formation energy (no corrections)	368	meV per atom

***

# 11
# Cr2RuSe

A relaxed Cr2RuSe crystal (GGA-PBE, Alexandria via LeMat-Bulk).

abc: 3.853 2.813 5.257
angles: 70.55 90.00 90.00
Element x y z (fractional)
1 Ru 0.500 0.250 0.250
2 Se 0.500 0.750 0.750
3 Cr 0.000 0.561 0.493
4 Cr 0.000 0.939 0.007

formation energy (no corrections)	306	meV per atom

***

# 12
# Cr2RuSe

A relaxed Cr2RuSe crystal (GGA-PBE, Alexandria via LeMat-Bulk).

abc: 4.234 4.234 4.234
angles: 60.00 60.00 60.00
Element x y z (fractional)
1 Ru 0.500 0.500 0.500
2 Cr 0.250 0.250 0.250
3 Cr 0.000 0.000 0.000
4 Se 0.750 0.750 0.750

formation energy (no corrections)	283	meV per atom

***

| no. | magnetization (Bohr magnetons per cell) |
| --- | --- |
| 1 | 2.25 |
| 2 | 8.81 |
| 3 | 0.43 |
| 4 | 3.42 |
| 5 | 0.62 |
| 6 | 2.73 |
| 7 | 1.67 |
| 8 | 0.90 |
| 9 | 0.04 |
| 10 | 3.71 |
| 11 | 0.00 |
| 12 | 1.83 |